No. 1
First-principles (meta-GGA SCAN) data for a crystal of Ba4In2O7 relaxed with PBEsol, as listed in the Alexandria database.

Cell and atoms, written as POSCAR:
```
Ba4In2O7
1.0
-4.3906 3.1278 -2.4502
0.1036 -3.5692 -4.7419
-7.2652 -10.0200 7.3832
Ba In O
8 4 14
Cartesian
-8.0885 -6.4500 -0.8949
-10.5841 -8.6807 0.7296
-3.4637 -4.0114 1.0860
-0.9680 -1.7807 -0.5385
-5.5913 -4.2180 -2.5204
-3.0241 -1.9233 -4.1914
-8.5281 -8.5381 4.3825
-5.9608 -6.2434 2.7115
-1.9914 -4.5264 -2.2096
-7.0512 -9.0489 1.0840
-9.5607 -5.9350 2.4007
-4.5010 -1.4125 -0.8929
-5.6838 -1.5942 -2.6941
-0.6062 -3.2882 -3.1113
-5.6335 -3.3264 -4.9955
-10.9460 -7.1732 3.3024
-3.4203 -3.2066 -1.4310
-8.5299 -10.3707 2.0465
-5.8684 -8.8672 2.8852
-5.5495 -7.7067 0.1065
-3.3700 -4.9389 -3.7323
-5.9187 -7.1350 5.1866
-8.1319 -7.2548 1.6221
-3.0222 -0.0907 -1.8554
-6.0027 -2.7547 0.0846
-8.1822 -5.5225 3.9235
```

Properties
**Density of states at the Fermi level**: 0.000 states/eV per atom
**Spin magnetization**: 0.1 μB/f.u.
**E_form (uncorrected)**: -2342 meV per atom
**V**: 495.8 Å³ per cell

---

No. 2
First-principles (meta-GGA SCAN) data for a crystal of BaGe2Au2 relaxed with PBEsol, as listed in the Alexandria database.

Cell and atoms, written as POSCAR:
```
BaGe2Au2
1.0
-3.9364 -0.9729 -2.1968
-0.0585 -4.1766 1.9545
-0.7700 4.5291 4.2146
Ge Au Ba
2 2 1
Cartesian
-1.4130 -1.1111 3.0240
-3.3520 0.4907 0.9483
-2.0313 1.4345 3.0045
-2.7337 -2.0549 0.9678
0.0000 0.0000 0.0000
```

Properties
**Density of states at the Fermi level**: 0.458 states/eV per atom
**Spin magnetization**: 0.0 μB/f.u.
**V**: 113.0 Å³ per cell
**Energy of formation**: -299 kJ/mol of formula units

---

No. 3
First-principles (meta-GGA SCAN) data for a crystal of P2RuW relaxed with PBEsol, as listed in the Alexandria database.

Cell and atoms, written as POSCAR:
```
P2RuW
1.0
-2.4156 1.2884 1.0882
-2.4616 -3.2810 2.4083
0.3399 -0.0015 4.7443
P Ru W
2 1 1
Cartesian
-2.1928 -2.1762 5.6850
-2.3445 0.1822 2.5559
-1.2078 0.6442 0.5441
-1.0608 -1.6412 3.5763
```

Properties
**Density of states at the Fermi level**: 0.530 states/eV per atom
**Spin magnetization**: 0.0 μB/f.u.
**V**: 54.9 Å³ per cell
**Energy of formation**: 122 kJ/mol of formula units